Below is NaNiCl after structural relaxation, with properties calculated at the PBE level.

POSCAR file:
```
NaNiCl
1.0
-3.2172 -0.7940 -0.3838
1.2494 -4.2873 -1.6037
-1.1671 -5.3145 6.2794
Na Ni Cl
2 2 2
Direct
0.7895 0.2895 0.4210
0.0329 0.5329 0.9341
0.9276 0.9276 0.1448
0.5361 0.0361 0.9277
0.3260 0.8260 0.3480
0.1400 0.1400 0.7201
```

Density ... 3.157 Mg/m³
Energy relative to the elements, uncorrected ... -0.49 eV per atom
Magnetization ... 0.0 μB/f.u.